(1)
LiScAlIn: optimized geometry, PBE-GGA.

Values from the calculation:
symmetry = No. 216
E_form = -1.15 eV per formula unit
crystal system = cubic

a b c (Å): 4.807 4.807 4.807
angles (deg): 60.00 60.00 60.00
Atoms (fractional coordinates):
Li 0.000 0.000 0.000
Sc 0.500 0.500 0.500
Al 0.250 0.250 0.250
In 0.750 0.750 0.750


(2)
PrThMgCd: optimized geometry, PBE-GGA.

Values from the calculation:
symmetry = No. 216
E_form = -0.29 eV per formula unit
crystal system = cubic

a b c (Å): 5.464 5.464 5.464
angles (deg): 60.00 60.00 60.00
Atoms (fractional coordinates):
Pr 0.000 0.000 0.000
Th 0.500 0.500 0.500
Mg 0.250 0.250 0.250
Cd 0.750 0.750 0.750


(3)
La4TbPm3S8: optimized geometry, PBE-GGA.

Values from the calculation:
E_form (uncorrected) = -33.58 eV per formula unit
symmetry = No. 166
crystal system = trigonal

a b c (Å): 8.171 8.171 8.171
angles (deg): 59.89 59.89 59.89
Atoms (fractional coordinates):
La 0.000 0.000 0.000
La 0.000 0.500 0.500
La 0.500 0.000 0.500
La 0.500 0.500 0.000
Tb 0.500 0.500 0.500
Pm 0.000 0.000 0.500
Pm 0.000 0.500 0.000
Pm 0.500 0.000 0.000
S 0.247 0.247 0.247
S 0.251 0.743 0.743
S 0.257 0.257 0.749
S 0.257 0.749 0.257
S 0.743 0.251 0.743
S 0.743 0.743 0.251
S 0.749 0.257 0.257
S 0.753 0.753 0.753


(4)
Rb2PuAlO6: optimized geometry, PBE-GGA.

Values from the calculation:
E_form (uncorrected) = -22.31 eV per formula unit
symmetry = No. 166
crystal system = trigonal

a b c (Å): 10.230 10.230 10.230
angles (deg): 33.97 33.97 33.97
Atoms (fractional coordinates):
Rb 0.133 0.133 0.133
Rb 0.284 0.284 0.284
Rb 0.716 0.716 0.716
Rb 0.867 0.867 0.867
Pu 0.407 0.407 0.407
Pu 0.593 0.593 0.593
Al 0.000 0.000 0.000
Al 0.500 0.500 0.500
O 0.172 0.598 0.598
O 0.201 0.201 0.712
O 0.201 0.712 0.201
O 0.288 0.799 0.799
O 0.402 0.402 0.828
O 0.402 0.828 0.402
O 0.598 0.172 0.598
O 0.598 0.598 0.172
O 0.712 0.201 0.201
O 0.799 0.288 0.799
O 0.799 0.799 0.288
O 0.828 0.402 0.402


(5)
Fe3SbTe: optimized geometry, PBE-GGA.

Values from the calculation:
E_form (uncorrected) = 5.41 eV per formula unit
symmetry = No. 221
crystal system = cubic

a b c (Å): 4.750 4.750 4.750
angles (deg): 90.00 90.00 90.00
Atoms (fractional coordinates):
Fe 0.000 0.000 0.500
Fe 0.000 0.500 0.000
Fe 0.500 0.000 0.000
Sb 0.500 0.500 0.500
Te 0.000 0.000 0.000


(6)
InHgNF2: optimized geometry, PBE-GGA.

Values from the calculation:
E_form (uncorrected) = -0.97 eV per formula unit
symmetry = No. 123
crystal system = tetragonal

a b c (Å): 4.836 4.836 4.190
angles (deg): 90.00 90.00 90.00
Atoms (fractional coordinates):
In 0.000 0.000 0.000
Hg 0.500 0.500 0.500
N 0.500 0.500 0.000
F 0.000 0.500 0.500
F 0.500 0.000 0.500


(7)
Ac3InPd6Pb2: optimized geometry, PBE-GGA.

Values from the calculation:
symmetry = No. 164
E_form = -7.98 eV per formula unit
crystal system = trigonal

a b c (Å): 6.096 6.096 9.180
angles (deg): 90.00 90.00 120.00
Atoms (fractional coordinates):
Ac 0.000 0.000 0.000
Ac 0.333 0.667 0.632
Ac 0.667 0.333 0.368
In 0.000 0.000 0.500
Pd 0.177 0.353 0.287
Pd 0.177 0.823 0.287
Pd 0.353 0.177 0.713
Pd 0.647 0.823 0.287
Pd 0.823 0.177 0.713
Pd 0.823 0.647 0.713
Pb 0.333 0.667 0.027
Pb 0.667 0.333 0.973


(8)
YTiPt3: optimized geometry, PBE-GGA.

Values from the calculation:
symmetry = No. 221
E_form = 4.33 eV per formula unit
crystal system = cubic

a b c (Å): 5.017 5.017 5.017
angles (deg): 90.00 90.00 90.00
Atoms (fractional coordinates):
Y 0.000 0.000 0.000
Ti 0.500 0.500 0.500
Pt 0.000 0.000 0.500
Pt 0.000 0.500 0.000
Pt 0.500 0.000 0.000


(9)
Er2LuNp: optimized geometry, PBE-GGA.

Values from the calculation:
symmetry = No. 225
E_form = 1.62 eV per formula unit
crystal system = cubic

a b c (Å): 5.493 5.493 5.493
angles (deg): 60.00 60.00 60.00
Atoms (fractional coordinates):
Er 0.250 0.250 0.250
Er 0.750 0.750 0.750
Lu 0.000 0.000 0.000
Np 0.500 0.500 0.500